NaHoCrF6 | PBE with a Hubbard U | optimized geometry

## Properties
Crystal system   trigonal
VASP energy   -5.9175 eV per atom

Lattice parameters (Å, degrees): 5.7580 5.7580 9.5556 90.00 90.00 120.00
Last column: nearest neighbours and their distance in Å.
Positions (direct):
Na (0.0000, 0.0000, 0.0000)  6 F 2.41
Na (0.0000, 0.0000, 0.5000)  6 F 2.41
Ho (0.3333, 0.6667, 0.2500)  6 F 2.19
Ho (0.6667, 0.3333, 0.7500)  6 F 2.19
Cr (0.3333, 0.6667, 0.7500)  6 F 2.14
Cr (0.6667, 0.3333, 0.2500)  6 F 2.14
F (0.0060, 0.3559, 0.6350)  1 Cr 2.14, 1 Ho 2.19
F (0.0060, 0.6500, 0.8650)  1 Cr 2.14, 1 Ho 2.19
F (0.3500, 0.3559, 0.8650)  1 Cr 2.14, 1 Ho 2.19
F (0.3500, 0.9940, 0.6350)  1 Cr 2.14, 1 Ho 2.19
F (0.3559, 0.0060, 0.1350)  1 Cr 2.14, 1 Ho 2.19
F (0.3559, 0.3500, 0.3650)  1 Cr 2.14, 1 Ho 2.19
F (0.6441, 0.6500, 0.6350)  1 Cr 2.14, 1 Ho 2.19
F (0.6441, 0.9940, 0.8650)  1 Cr 2.14, 1 Ho 2.19
F (0.6500, 0.0060, 0.3650)  1 Cr 2.14, 1 Ho 2.19
F (0.6500, 0.6441, 0.1350)  1 Cr 2.14, 1 Ho 2.19
F (0.9940, 0.3500, 0.1350)  1 Cr 2.14, 1 Ho 2.19
F (0.9940, 0.6441, 0.3650)  1 Cr 2.14, 1 Ho 2.19